(1)
VASP calculation (meta-GGA SCAN) on a PBEsol-optimized structure of Na3BiSb.

abc: 5.7557 5.7557 5.7557
angles: 90.00 90.00 90.00
Positions (direct):
Sb (0.0000, 0.0000, 0.0000)
Bi (0.5000, 0.5000, 0.5000)
Na (0.0000, 0.5000, 0.0000)
Na (0.0000, 0.0000, 0.5000)
Na (0.5000, 0.0000, 0.0000)

distance to the lowest polymorph of the same formula	0.0	meV/atom
magnetization	2.85	μB per formula unit
space-group type	No. 221
uncorrected formation energy	0.117	eV per atom

(2)
VASP calculation (meta-GGA SCAN) on a PBEsol-optimized structure of NaScBi3.

abc: 5.5735 5.5735 5.5735
angles: 90.00 90.00 90.00
Positions (direct):
Sc (0.0000, 0.0000, 0.0000)
Na (0.5000, 0.5000, 0.5000)
Bi (0.0000, 0.5000, 0.0000)
Bi (0.0000, 0.0000, 0.5000)
Bi (0.5000, 0.0000, 0.0000)

magnetization	0.00	μB per formula unit
space-group type	No. 221
energy of formation from the pure elements	-112	meV per atom

(3)
VASP calculation (meta-GGA SCAN) on a PBEsol-optimized structure of NaScBi2.

abc: 5.2835 5.2835 5.2835
angles: 60.00 60.00 60.00
Positions (direct):
Sc (0.5000, 0.5000, 0.5000)
Na (0.0000, 0.0000, 0.0000)
Bi (0.2500, 0.2500, 0.2500)
Bi (0.7500, 0.7500, 0.7500)

magnetization	0.00	μB per formula unit
space-group type	No. 225
energy of formation from the pure elements	-399	meV per atom

(4)
VASP calculation (meta-GGA SCAN) on a PBEsol-optimized structure of NaSi3Bi.

abc: 5.3793 5.3793 5.3793
angles: 90.00 90.00 90.00
Positions (direct):
Na (0.5000, 0.5000, 0.5000)
Si (0.0000, 0.5000, 0.0000)
Si (0.0000, 0.0000, 0.5000)
Si (0.5000, 0.0000, 0.0000)
Bi (0.0000, 0.0000, 0.0000)

magnetization	0.00	μB per formula unit
space-group type	No. 221
uncorrected formation energy	1.385	eV per atom

(5)
VASP calculation (meta-GGA SCAN) on a PBEsol-optimized structure of Na2SnBi2.

abc: 4.4403 4.4403 8.3478
angles: 105.42 105.42 90.00
Positions (direct):
Na (0.2500, 0.7500, 0.5000)
Na (0.7500, 0.2500, 0.5000)
Bi (0.4035, 0.4035, 0.8070)
Bi (0.5965, 0.5965, 0.1930)
Sn (0.0000, 0.0000, 0.0000)

distance to the lowest polymorph of the same formula	235.6	meV/atom
magnetization	0.00	μB per formula unit
space-group type	No. 139
energy of formation from the pure elements	58	meV per atom

(6)
VASP calculation (meta-GGA SCAN) on a PBEsol-optimized structure of Na2SnBi2.

abc: 3.3434 9.1524 9.1524
angles: 90.00 90.00 90.00
Positions (direct):
Na (0.5000, 0.1209, 0.6209)
Na (0.5000, 0.6209, 0.8791)
Na (0.5000, 0.8791, 0.3791)
Na (0.5000, 0.3791, 0.1209)
Bi (0.0000, 0.3214, 0.8214)
Bi (0.0000, 0.8214, 0.6786)
Bi (0.0000, 0.6786, 0.1786)
Bi (0.0000, 0.1786, 0.3214)
Sn (0.0000, 0.0000, 0.0000)
Sn (0.0000, 0.5000, 0.5000)

distance to the lowest polymorph of the same formula	0.0	meV/atom
magnetization	0.00	μB per formula unit
space-group type	No. 127
energy of formation from the pure elements	-177	meV per atom

(7)
VASP calculation (meta-GGA SCAN) on a PBEsol-optimized structure of NaSr2Bi2.

abc: 6.4778 6.7154 6.4778
angles: 61.16 90.00 118.84
Positions (direct):
Sr (0.7500, 0.5000, 0.7500)
Sr (0.2500, 0.5000, 0.2500)
Bi (0.6631, 0.3263, 0.3369)
Bi (0.3369, 0.6737, 0.6631)
Na (0.0000, 0.0000, 0.0000)

magnetization	0.00	μB per formula unit
space-group type	No. 139
energy of formation from the pure elements	-491	meV per atom

(8)
VASP calculation (meta-GGA SCAN) on a PBEsol-optimized structure of NaYTcBi2.

abc: 4.9259 5.8568 5.8568
angles: 90.00 90.00 90.00
Positions (direct):
Y (0.0000, 0.0000, 0.0000)
Na (0.5000, 0.5000, 0.5000)
Bi (0.0000, 0.0000, 0.5000)
Bi (0.0000, 0.5000, 0.0000)
Tc (0.5000, 0.0000, 0.0000)

magnetization	2.39	μB per formula unit
space-group type	No. 123
energy of formation from the pure elements	772	meV per atom